Compound: NdTaIO4
Source: Alexandria
Functional: PBE
Structure: relaxed

Values from the calculation:
formation energy from raw total energies: -2.580 eV per atom
crystal system: monoclinic
electronic total energy: -0.29432 hartree per atom
M_tot: 0.00 μB/f.u.

Lattice parameters (Å, degrees): 7.450 7.450 6.980 104.89 104.89 52.05
Atoms (fractional coordinates):
Nd: 0.206 0.206 0.316
Nd: 0.794 0.794 0.684
Ta: 0.110 0.110 0.701
Ta: 0.890 0.890 0.299
I: 0.458 0.458 0.800
I: 0.542 0.542 0.200
O: 0.037 0.037 0.347
O: 0.046 0.596 0.379
O: 0.159 0.159 0.978
O: 0.404 0.954 0.621
O: 0.596 0.046 0.379
O: 0.841 0.841 0.022
O: 0.954 0.404 0.621
O: 0.963 0.963 0.653